(1)
# K5TlO4 | Alexandria | PBE | relaxed
# Spin magnetization   1.0 Bohr magnetons per cell
# Polymorph energy (0 for the lowest one)   0 meV per atom
# Density   3.51 g/cm³
# SG   Pbca
# Energy relative to the elements, uncorrected   -1.13 eV per atom
data_K5TlO4
_cell_length_a 6.947
_cell_length_b 12.077
_cell_length_c 20.940
_cell_angle_alpha 90.00
_cell_angle_beta 90.00
_cell_angle_gamma 90.00
_space_group_name_H-M_alt 'P 1'
_space_group_IT_number 1
loop_
_space_group_symop_operation_xyz
'x,y,z'
loop_
_atom_site_label
_atom_site_type_symbol
_atom_site_fract_x
_atom_site_fract_y
_atom_site_fract_z
K1 K 0.899 0.580 0.751
K2 K 0.601 0.080 0.249
K3 K 0.586 0.162 0.496
K4 K 0.916 0.938 0.435
K5 K 0.086 0.838 0.004
K6 K 0.576 0.700 0.641
K7 K 0.399 0.920 0.751
K8 K 0.584 0.438 0.565
K9 K 0.914 0.162 0.996
K10 K 0.414 0.838 0.504
K11 K 0.601 0.580 0.251
K12 K 0.424 0.800 0.141
K13 K 0.084 0.062 0.565
K14 K 0.076 0.300 0.859
K15 K 0.914 0.662 0.504
K16 K 0.576 0.200 0.859
K17 K 0.399 0.420 0.749
K18 K 0.897 0.327 0.671
K19 K 0.086 0.338 0.496
K20 K 0.397 0.173 0.671
K21 K 0.416 0.062 0.065
K22 K 0.584 0.938 0.935
K23 K 0.424 0.300 0.359
K24 K 0.924 0.700 0.141
K25 K 0.897 0.827 0.829
K26 K 0.103 0.173 0.171
K27 K 0.603 0.327 0.171
K28 K 0.101 0.420 0.249
K29 K 0.076 0.800 0.641
K30 K 0.924 0.200 0.359
K31 K 0.084 0.562 0.935
K32 K 0.916 0.438 0.065
K33 K 0.397 0.673 0.829
K34 K 0.899 0.080 0.749
K35 K 0.603 0.827 0.329
K36 K 0.416 0.562 0.435
K37 K 0.103 0.673 0.329
K38 K 0.101 0.920 0.251
K39 K 0.414 0.338 0.996
K40 K 0.586 0.662 0.004
O1 O 0.308 0.635 0.546
O2 O 0.192 0.135 0.454
O3 O 0.732 0.377 0.287
O4 O 0.860 0.048 0.879
O5 O 0.640 0.548 0.121
O6 O 0.360 0.452 0.879
O7 O 0.738 0.139 0.125
O8 O 0.232 0.623 0.213
O9 O 0.738 0.639 0.375
O10 O 0.762 0.139 0.625
O11 O 0.808 0.365 0.954
O12 O 0.268 0.623 0.713
O13 O 0.308 0.135 0.954
O14 O 0.268 0.123 0.787
O15 O 0.140 0.452 0.379
O16 O 0.692 0.365 0.454
O17 O 0.238 0.861 0.375
O18 O 0.860 0.548 0.621
O19 O 0.140 0.952 0.121
O20 O 0.262 0.361 0.625
O21 O 0.732 0.877 0.213
O22 O 0.762 0.639 0.875
O23 O 0.238 0.361 0.125
O24 O 0.640 0.048 0.379
O25 O 0.692 0.865 0.046
O26 O 0.768 0.877 0.713
O27 O 0.262 0.861 0.875
O28 O 0.360 0.952 0.621
O29 O 0.232 0.123 0.287
O30 O 0.192 0.635 0.046
O31 O 0.768 0.377 0.787
O32 O 0.808 0.865 0.546
Tl1 Tl 0.676 0.963 0.623
Tl2 Tl 0.676 0.463 0.877
Tl3 Tl 0.324 0.037 0.377
Tl4 Tl 0.176 0.537 0.623
Tl5 Tl 0.824 0.963 0.123
Tl6 Tl 0.824 0.463 0.377
Tl7 Tl 0.176 0.037 0.877
Tl8 Tl 0.324 0.537 0.123



(2)
# Ac3Sn2Pt4Pb2 | Alexandria | PBE | relaxed
# Spin magnetization   0.0 Bohr magnetons per cell
# VASP energy   -5.558 eV/atom
# Density   11.85 g/cm³
# SG   P-3m1
data_Ac3Sn2Pt4Pb2
_cell_length_a 4.847
_cell_length_b 4.847
_cell_length_c 14.552
_cell_angle_alpha 90.00
_cell_angle_beta 90.00
_cell_angle_gamma 120.00
_space_group_name_H-M_alt 'P 1'
_space_group_IT_number 1
loop_
_space_group_symop_operation_xyz
'x,y,z'
loop_
_atom_site_label
_atom_site_type_symbol
_atom_site_fract_x
_atom_site_fract_y
_atom_site_fract_z
Ac1 Ac 0.000 0.000 0.723
Ac2 Ac 0.000 0.000 0.000
Ac3 Ac 0.000 0.000 0.277
Pb1 Pb 0.667 0.333 0.441
Pb2 Pb 0.333 0.667 0.559
Sn1 Sn 0.667 0.333 0.847
Sn2 Sn 0.333 0.667 0.153
Pt1 Pt 0.333 0.667 0.362
Pt2 Pt 0.667 0.333 0.132
Pt3 Pt 0.333 0.667 0.868
Pt4 Pt 0.667 0.333 0.638



Q: The lowest spin magnetization belongs to which entry?
A: Ac3Sn2Pt4Pb2



Q: What is the density in the second record?
A: 11.85 g/cm³



Q: Which value of spin magnetization does entry 1 give?
A: 1.0 Bohr magnetons per cell